UFe: optimized geometry, PBE.

Computed properties:
Formation enthalpy at 0 K, kJ/mol of formula units: 187

Cell: 3.922 3.922 3.922 Å, 60.00 60.00 60.00°
Positions (direct):
U 0.000 0.000 0.000
Fe 0.250 0.250 0.250


LiUF6: optimized geometry, PBE.

Computed properties:
Uncorrected energy, eV/atom: -6.46

Cell: 5.611 5.611 5.611 Å, 60.00 60.00 60.00°
Positions (direct):
Li 0.000 0.000 0.000
U 0.500 0.500 0.500
F 0.240 0.240 0.760
F 0.240 0.760 0.240
F 0.240 0.760 0.760
F 0.760 0.240 0.240
F 0.760 0.240 0.760
F 0.760 0.760 0.240


TbZnInS3: optimized geometry, PBE.

Computed properties:
Uncorrected energy, eV/atom: -4.66

Cell: 7.305 7.305 10.592 Å, 90.00 90.00 148.46°
Positions (direct):
Tb 0.000 0.000 0.000
Tb 0.000 0.000 0.500
Zn 0.460 0.540 0.750
Zn 0.540 0.460 0.250
In 0.253 0.747 0.250
In 0.747 0.253 0.750
S 0.062 0.938 0.750
S 0.373 0.627 0.564
S 0.373 0.627 0.936
S 0.627 0.373 0.064
S 0.627 0.373 0.436
S 0.938 0.062 0.250


Dy3Er3Sb2Os: optimized geometry, PBE.

Computed properties:
Uncorrected energy, eV/atom: -5.91

Cell: 8.146 8.146 4.206 Å, 90.00 90.00 120.00°
Positions (direct):
Dy 0.000 0.394 0.000
Dy 0.394 0.000 0.000
Dy 0.606 0.606 0.000
Er 0.000 0.764 0.500
Er 0.236 0.236 0.500
Er 0.764 0.000 0.500
Sb 0.333 0.667 0.500
Sb 0.667 0.333 0.500
Os 0.000 0.000 0.000


NaNiMo: optimized geometry, PBE.

Computed properties:
Uncorrected energy, eV/atom: -5.06

Cell: 4.516 4.516 2.521 Å, 90.00 90.00 120.00°
Positions (direct):
Na 0.000 0.000 0.000
Ni 0.667 0.333 0.000
Mo 0.333 0.667 0.500


Nd3Ni4Sn2Ge2: optimized geometry, PBE.

Computed properties:
Uncorrected energy, eV/atom: -5.51

Cell: 8.313 8.313 8.313 Å, 149.34 131.96 58.07°
Positions (direct):
Nd 0.000 0.000 0.000
Nd 0.372 0.872 0.500
Nd 0.628 0.128 0.500
Ni 0.026 0.342 0.685
Ni 0.343 0.658 0.685
Ni 0.657 0.342 0.315
Ni 0.974 0.658 0.315
Sn 0.218 0.218 0.000
Sn 0.782 0.782 0.000
Ge 0.311 0.500 0.811
Ge 0.689 0.500 0.189


Er4In2PtC: optimized geometry, PBE.

Computed properties:
Uncorrected energy, eV/atom: -5.43

Cell: 3.653 3.653 16.753 Å, 90.00 90.00 120.00°
Positions (direct):
Er 0.333 0.667 0.110
Er 0.333 0.667 0.422
Er 0.667 0.333 0.578
Er 0.667 0.333 0.890
In 0.333 0.667 0.738
In 0.667 0.333 0.262
Pt 0.000 0.000 0.000
C 0.000 0.000 0.500


Ba2NdMg3CdHg2: optimized geometry, PBE.

Computed properties:
Uncorrected energy, eV/atom: -1.93

Cell: 4.517 8.558 8.558 Å, 122.22 90.00 90.00°
Positions (direct):
Ba 0.000 0.209 0.791
Ba 0.000 0.791 0.209
Nd 0.000 0.621 0.621
Mg 0.500 0.226 0.445
Mg 0.500 0.445 0.226
Mg 0.500 0.963 0.963
Cd 0.000 0.211 0.211
Hg 0.500 0.549 0.846
Hg 0.500 0.846 0.549


YHo2FeNi8: optimized geometry, PBE.

Computed properties:
Formation enthalpy at 0 K, kJ/mol of formula units: -414

Cell: 8.530 8.530 8.530 Å, 33.84 33.84 33.84°
Positions (direct):
Y 0.000 0.000 0.000
Ho 0.139 0.139 0.139
Ho 0.861 0.861 0.861
Fe 0.500 0.500 0.500
Ni 0.082 0.584 0.584
Ni 0.333 0.333 0.333
Ni 0.416 0.416 0.918
Ni 0.416 0.918 0.416
Ni 0.584 0.082 0.584
Ni 0.584 0.584 0.082
Ni 0.667 0.667 0.667
Ni 0.918 0.416 0.416


SmMgAsO: optimized geometry, PBE.

Computed properties:
Uncorrected energy, eV/atom: -5.89

Cell: 4.519 6.242 5.967 Å, 90.00 90.00 90.00°
Positions (direct):
Sm 0.000 0.235 0.000
Sm 0.000 0.765 0.500
Mg 0.500 0.387 0.630
Mg 0.500 0.613 0.130
As 0.000 0.236 0.495
As 0.000 0.764 0.995
O 0.500 0.335 0.963
O 0.500 0.665 0.463


SmBiNO: optimized geometry, PBE.

Computed properties:
Uncorrected energy, eV/atom: -6.57

Cell: 7.079 7.633 5.672 Å, 90.00 90.00 90.00°
Positions (direct):
Sm 0.093 0.142 0.000
Sm 0.407 0.142 0.500
Sm 0.593 0.858 0.000
Sm 0.907 0.858 0.500
Bi 0.122 0.670 0.019
Bi 0.378 0.670 0.519
Bi 0.622 0.330 0.019
Bi 0.878 0.330 0.519
N 0.089 0.111 0.581
N 0.411 0.111 0.081
N 0.589 0.889 0.581
N 0.911 0.889 0.081
O 0.038 0.403 0.183
O 0.462 0.403 0.683
O 0.538 0.597 0.183
O 0.962 0.597 0.683


TbDyNi2B2N2: optimized geometry, PBE.

Computed properties:
Uncorrected energy, eV/atom: -7.39

Cell: 3.500 3.500 7.512 Å, 90.00 90.00 90.00°
Positions (direct):
Tb 0.000 0.000 0.000
Dy 0.500 0.500 0.336
Ni 0.000 0.500 0.668
Ni 0.500 0.000 0.668
B 0.000 0.000 0.508
B 0.500 0.500 0.829
N 0.000 0.000 0.314
N 0.500 0.500 0.023


| no. | mass density (g cm⁻³) |
| --- | --- |
| 1 | 11.44 |
| 2 | 4.77 |
| 3 | 4.89 |
| 4 | 9.78 |
| 5 | 6.62 |
| 6 | 8.07 |
| 7 | 9.49 |
| 8 | 5.96 |
| 9 | 9.14 |
| 10 | 5.24 |
| 11 | 8.44 |
| 12 | 8.81 |